{"formula": "Li4Cd2InPb", "functional": "PBE", "state": "relaxed", "lattice": [[4.794, 0.000, 0.000], [0.000, 4.794, 0.000], [0.000, 0.000, 6.791]], "species": ["Li", "Li", "Li", "Li", "Cd", "Cd", "In", "Pb"], "frac_coords": [[0.000, 0.000, 0.000], [0.000, 0.500, 0.246], [0.500, 0.000, 0.754], [0.500, 0.500, 0.500], [0.000, 0.500, 0.763], [0.500, 0.000, 0.237], [0.500, 0.500, 0.000], [0.000, 0.000, 0.500]], "space_group": "P-4m2", "dft_energy_ev_per_atom": -2.260, "crystal_system": "tetragonal"}